Entry 1:
TbDyP2Ir2O2: relaxed, PBE.

Lattice parameters (Å, degrees): 3.9553 3.9553 8.0009 90.00 90.00 90.00
Last column: nearest neighbours and their distance in Å.
Space group P4mm (No. 99)
One atom of each set of equivalent atoms:
Tb1 0.0000 0.0000 0.0000 x1  4 O 2.27
Dy1 0.5000 0.5000 0.7273 x1  4 O 2.25
P1 0.0000 0.0000 0.5273 x1  4 Ir 2.37
P2 0.5000 0.5000 0.1988 x1  4 Ir 2.37
Ir1 0.0000 0.5000 0.3631 x2  4 P 2.37
O1 0.0000 0.5000 0.8620 x2  2 Dy 2.25, 2 Tb 2.27

Values from the calculation:
Total DFT energy (no corrections) ... -0.583 Ry per atom

***

Entry 2:
LiTbNO: relaxed, PBE.

Lattice parameters (Å, degrees): 3.6907 3.6907 7.1751 90.00 90.00 90.00
Last column: nearest neighbours and their distance in Å.
Space group P4/nmm (No. 129, origin choice 2)
One atom of each set of equivalent atoms:
Li1 0.2500 0.7500 0.0000 x2  4 N 2.07
Tb1 0.2500 0.2500 0.3321 x2  4 O 2.20
N1 0.2500 0.2500 0.8705 x2  4 Li 2.07
O1 0.2500 0.7500 0.5000 x2  4 Tb 2.20

Values from the calculation:
Total DFT energy (no corrections) ... -0.469 Ry per atom

***

Entry 3:
Ta5Re: relaxed, PBE.

Lattice parameters (Å, degrees): 5.4512 5.4512 17.0275 90.00 90.00 120.00
Last column: nearest neighbours and their distance in Å.
Space group P6_3/mmc (No. 194)
One atom of each set of equivalent atoms:
Ta1 0.0000 0.0000 0.0945 x4  13 Ta 3.07-3.31, 3 Re 3.19
Ta2 0.0000 0.5000 0.0000 x6  2 Re 2.64, 4 Ta 2.73
Ta3 0.1645 0.3291 0.2500 x6  2 Re 2.67, 4 Ta 2.69-2.76
Ta4 0.3333 0.6667 0.6552 x4  13 Ta 3.08-3.31, 3 Re 3.19
Re1 0.3333 0.6667 0.1243 x4  6 Ta 2.64-2.67

Values from the calculation:
Total DFT energy (no corrections) ... -0.883 Ry per atom
Formation energy from the elements ... -0.07 eV/atom

***

Entry 4:
BaLiLuS3: relaxed, PBE.

Lattice parameters (Å, degrees): 4.0528 13.4842 10.0983 90.00 90.00 90.00
Last column: nearest neighbours and their distance in Å.
Space group Cmcm (No. 63)
One atom of each set of equivalent atoms:
Ba1 0.0000 0.2451 0.2500 x4  8 S 3.17-3.48
Li1 0.0000 0.0288 0.7500 x4  4 S 2.37-2.39
Lu1 0.0000 0.5000 0.0000 x4  6 S 2.67-2.73
S1 0.0000 0.1285 0.5569 x8  1 Li 2.37
S2 0.0000 0.4354 0.7500 x4  2 Li 2.39, 2 Lu 2.67

Values from the calculation:
Total DFT energy (no corrections) ... -0.397 Ry per atom

***

Entry 5:
AlReAu: relaxed, PBE.

Lattice parameters (Å, degrees): 5.9370 5.9370 5.9370 90.00 90.00 90.00
Last column: nearest neighbours and their distance in Å.
Space group F-43m (No. 216)
One atom of each set of equivalent atoms:
Al1 0.0000 0.0000 0.0000 x4  4 Re 2.57, 4 Au 2.57
Re1 0.2500 0.2500 0.2500 x4  4 Al 2.57
Au1 0.2500 0.2500 0.7500 x4  4 Al 2.57

Values from the calculation:
Total DFT energy (no corrections) ... -0.435 Ry per atom

***

Entry 6:
BaSmRe: relaxed, PBE.

Lattice parameters (Å, degrees): 7.1315 7.1315 7.1315 90.00 90.00 90.00
Last column: nearest neighbours and their distance in Å.
Space group F-43m (No. 216)
One atom of each set of equivalent atoms:
Ba1 0.0000 0.0000 0.0000 x4  4 Sm 3.09
Sm1 0.2500 0.2500 0.2500 x4  4 Ba 3.09, 4 Re 3.09
Re1 0.0000 0.0000 0.5000 x4  4 Sm 3.09

Values from the calculation:
Total DFT energy (no corrections) ... -0.360 Ry per atom

***

> Look up the total DFT energy (no corrections) of the first one.

-0.583 Ry per atom

***

> Among the records above, which one has the highest total DFT energy (no corrections)?

BaSmRe

***

> total DFT energy (no corrections) of number 3 (Ta5Re)?

-0.883 Ry per atom